1.
Here is a geometry-optimized SmZnCu structure from OQMD. Energies are from GGA-PBE.

a b c (Å): 5.510 5.510 7.045
angles (deg): 127.62 127.62 46.91
Fractional coordinates of all 6 atoms:
Sm 0.457 0.457 0.206
Cu 0.838 0.838 0.795
Cu 0.162 0.162 0.205
Zn 0.170 0.170 0.611
Zn 0.830 0.830 0.389
Sm 0.543 0.543 0.794

Results
Symmetry: No. 12
Total magnetization: 0.00 μB per cell
Energy of formation: -0.30 eV per atom

2.
Here is a geometry-optimized Ba2PrNb2 structure from OQMD. Energies are from GGA-PBE.

a b c (Å): 6.366 6.470 8.354
angles (deg): 90.00 89.71 90.00
Fractional coordinates of all 10 atoms:
Ba 0.232 0.499 0.620
Pr 0.503 0.999 0.489
Nb 0.489 0.999 0.848
Ba 0.269 0.499 0.120
Pr 0.997 0.999 0.989
Nb 0.014 0.999 0.348
Ba 0.769 0.499 0.353
Nb 0.503 0.999 0.129
Ba 0.731 0.499 0.853
Nb 0.994 0.999 0.629

Results
E_tot: -25.4 eV/f.u.
Symmetry: No. 6
Total magnetization: 0.01 μB per cell

3.
Here is a geometry-optimized Pr3CdIn2PtAu2 structure from OQMD. Energies are from GGA-PBE.

a b c (Å): 4.144 7.850 7.850
angles (deg): 119.67 90.00 90.00
Fractional coordinates of all 9 atoms:
Pr 0.500 0.003 0.403
Pt 0.500 0.994 0.994
Pr 0.500 0.403 0.003
Au 0.000 0.334 0.669
Cd 0.000 0.250 0.250
Au 0.000 0.669 0.334
In 0.000 0.000 0.753
Pr 0.500 0.593 0.593
In 0.000 0.753 0.000

Results
E_tot: -40.2 eV/f.u.
Symmetry: No. 38
Total magnetization: 0.00 μB per cell

4.
Here is a geometry-optimized LiTbU structure from OQMD. Energies are from GGA-PBE.

a b c (Å): 4.862 4.862 4.862
angles (deg): 60.00 60.00 60.00
Site moments in Bohr magnetons follow the coordinates.
Fractional coordinates of all 3 atoms:
U 0.750 0.750 0.750  2.93
Li 0.000 0.000 0.000  0.04
Tb 0.250 0.250 0.250  0.53

Results
Symmetry: No. 216
Total magnetization: 4.22 μB per cell
Energy above the lowest structure with this stoichiometry: 0.0 meV/atom

5.
Here is a geometry-optimized Fe2SiBi structure from OQMD. Energies are from GGA-PBE.

a b c (Å): 6.345 6.345 6.345
angles (deg): 90.00 90.00 90.00
Site moments in Bohr magnetons follow the coordinates.
Fractional coordinates of all 16 atoms:
Fe 0.794 0.206 0.794  2.11
Bi 0.000 0.500 0.500  -0.02
Fe 0.206 0.206 0.794  2.09
Fe 0.206 0.794 0.794  2.13
Fe 0.794 0.794 0.206  2.09
Si 0.000 0.000 0.500  -0.04
Si 0.500 0.000 0.000  -0.07
Fe 0.794 0.206 0.206  2.13
Si 0.000 0.000 0.000  -0.11
Fe 0.206 0.794 0.206  2.11
Bi 0.500 0.500 0.000  -0.04
Bi 0.500 0.500 0.500  0.04
Bi 0.500 0.000 0.500  -0.04
Fe 0.794 0.794 0.794  2.09
Fe 0.206 0.206 0.206  2.09
Si 0.000 0.500 0.000  -0.06

Results
E_tot: -25.0 eV/f.u.
Symmetry: No. 221
Total magnetization: 16.45 μB per cell

6.
Here is a geometry-optimized Hf4AsPN2 structure from OQMD. Energies are from GGA-PBE.

a b c (Å): 3.379 3.379 12.064
angles (deg): 90.00 90.00 120.00
Fractional coordinates of all 8 atoms:
N 0.333 0.667 0.746
N 0.333 0.667 0.254
Hf 0.667 0.333 0.155
Hf 0.000 0.000 0.645
Hf 0.000 0.000 0.355
Hf 0.667 0.333 0.845
P 0.667 0.333 0.500
As 0.000 0.000 0.000

Results
E_tot: -77.6 eV/f.u.
Symmetry: No. 187
Total magnetization: 0.00 μB per cell

7.
Here is a geometry-optimized SmSi2Au4 structure from OQMD. Energies are from GGA-PBE.

a b c (Å): 7.302 7.302 4.347
angles (deg): 90.00 90.00 145.24
Fractional coordinates of all 7 atoms:
Au 0.674 0.326 0.000
Sm 0.000 0.000 0.000
Si 0.584 0.416 0.500
Au 0.827 0.173 0.500
Au 0.326 0.674 0.000
Si 0.416 0.584 0.500
Au 0.173 0.827 0.500

Results
E_tot: -32.0 eV/f.u.
Symmetry: No. 65
Total magnetization: 0.01 μB per cell

8.
Here is a geometry-optimized PrGdGe2Au2 structure from OQMD. Energies are from GGA-PBE.

a b c (Å): 4.520 4.520 7.610
angles (deg): 90.00 90.00 120.00
Fractional coordinates of all 6 atoms:
Gd 0.000 0.000 0.502
Ge 0.667 0.333 0.709
Au 0.333 0.667 0.765
Ge 0.333 0.667 0.223
Au 0.667 0.333 0.298
Pr 0.000 0.000 0.005

Results
E_tot: -30.3 eV/f.u.
Symmetry: No. 156
Total magnetization: 0.01 μB per cell

9.
Here is a geometry-optimized SrPa structure from OQMD. Energies are from GGA-PBE.

a b c (Å): 3.407 3.407 6.429
angles (deg): 90.00 90.00 120.00
Site moments in Bohr magnetons follow the coordinates.
Fractional coordinates of all 2 atoms:
Pa 0.667 0.333 0.750  0.67
Sr 0.333 0.667 0.250  0.06

Results
Symmetry: No. 187
Total magnetization: 1.02 μB per cell
Energy above the lowest structure with this stoichiometry: 0.0 meV/atom

10.
Here is a geometry-optimized Sm2MgCu2 structure from OQMD. Energies are from GGA-PBE.

a b c (Å): 7.714 7.714 3.798
angles (deg): 90.00 90.00 90.00
Fractional coordinates of all 10 atoms:
Sm 0.170 0.330 0.500
Cu 0.123 0.623 0.000
Sm 0.830 0.670 0.500
Mg 0.000 0.000 0.000
Sm 0.670 0.170 0.500
Cu 0.623 0.877 0.000
Cu 0.377 0.123 0.000
Mg 0.500 0.500 0.000
Sm 0.330 0.830 0.500
Cu 0.877 0.377 0.000

Results
E_tot: -19.5 eV/f.u.
Symmetry: No. 127
Total magnetization: 0.02 μB per cell

11.
Here is a geometry-optimized DyZnAsO structure from OQMD. Energies are from GGA-PBE.

a b c (Å): 3.864 5.896 6.687
angles (deg): 90.00 90.00 90.00
Fractional coordinates of all 8 atoms:
Zn 0.000 0.878 0.959
O 0.500 0.741 0.879
Dy 0.500 0.450 0.095
Zn 0.000 0.122 0.459
As 0.000 0.739 0.320
As 0.000 0.261 0.820
Dy 0.500 0.550 0.595
O 0.500 0.259 0.379

Results
E_tot: -21.4 eV/f.u.
Symmetry: No. 26
Total magnetization: 0.00 μB per cell